## DyEr3B (PBE-GGA)

Data for a relaxed structure of DyEr3B.

a = 5.112 Å, b = 5.112 Å, c = 5.112 Å
α = 90.00°, β = 90.00°, γ = 90.00°
Positions (direct):
Dy  0.000  0.000  0.000
Er  0.000  0.500  0.500
Er  0.500  0.000  0.500
Er  0.500  0.500  0.000
B  0.500  0.500  0.500

Properties
* calculated volume: 26.718 Å³/atom
* DOS(E_F): 5.43 states/eV per cell
* crystal system: cubic
* energy of formation from the pure elements: 54 meV per atom

=====

## DyEr2B6 (PBE-GGA)

Data for a relaxed structure of DyEr2B6.

a = 5.672 Å, b = 5.672 Å, c = 3.838 Å
α = 90.00°, β = 90.00°, γ = 120.00°
Positions (direct):
Dy  0.000  0.000  0.000
Er  0.333  0.667  0.000
Er  0.667  0.333  0.000
B  0.000  0.334  0.500
B  0.000  0.666  0.500
B  0.334  0.000  0.500
B  0.334  0.334  0.500
B  0.666  0.000  0.500
B  0.666  0.666  0.500

Properties
* calculated volume: 11.881 Å³/atom
* DOS(E_F): 2.27 states/eV per cell
* crystal system: hexagonal
* energy of formation from the pure elements: -606 meV per atom

=====

## DyErB (PBE-GGA)

Data for a relaxed structure of DyErB.

a = 7.591 Å, b = 7.591 Å, c = 7.591 Å
α = 99.18°, β = 99.18°, γ = 99.18°
Positions (direct):
Dy  0.177  0.405  0.564
Dy  0.405  0.564  0.177
Dy  0.436  0.823  0.595
Dy  0.564  0.177  0.405
Dy  0.595  0.436  0.823
Dy  0.823  0.595  0.436
Er  0.066  0.683  0.914
Er  0.086  0.934  0.317
Er  0.317  0.086  0.934
Er  0.683  0.914  0.066
Er  0.914  0.066  0.683
Er  0.934  0.317  0.086
B  0.101  0.807  0.630
B  0.193  0.370  0.899
B  0.370  0.899  0.193
B  0.630  0.101  0.807
B  0.807  0.630  0.101
B  0.899  0.193  0.370

Properties
* calculated volume: 23.254 Å³/atom
* DOS(E_F): 16.45 states/eV per cell
* crystal system: trigonal
* energy of formation from the pure elements: 43 meV per atom

=====

## DyBF6 (PBE-GGA)

Data for a relaxed structure of DyBF6.

a = 5.292 Å, b = 5.292 Å, c = 5.292 Å
α = 57.07°, β = 57.07°, γ = 57.07°
Positions (direct):
Dy  0.000  0.000  0.000
B  0.500  0.500  0.500
F  0.181  0.705  0.400
F  0.295  0.600  0.819
F  0.400  0.181  0.705
F  0.600  0.819  0.295
F  0.705  0.400  0.181
F  0.819  0.295  0.600

Properties
* calculated volume: 12.216 Å³/atom
* DOS(E_F): 0.00 states/eV per cell
* crystal system: trigonal
* raw formation energy: -2393 kJ/mol of formula units

=====

## DyBF (PBE-GGA)

Data for a relaxed structure of DyBF.

a = 4.100 Å, b = 4.100 Å, c = 6.313 Å
α = 94.06°, β = 94.06°, γ = 77.73°
Positions (direct):
Dy  0.151  0.151  0.271
Dy  0.849  0.849  0.729
B  0.354  0.646  0.500
B  0.646  0.354  0.500
F  0.182  0.182  0.916
F  0.818  0.818  0.084

Properties
* calculated volume: 17.212 Å³/atom
* DOS(E_F): 0.10 states/eV per cell
* crystal system: monoclinic
* raw formation energy: -478 kJ/mol of formula units

=====

## Dy4B4O11F2 (PBE-GGA)

Data for a relaxed structure of Dy4B4O11F2.

a = 7.134 Å, b = 7.134 Å, c = 13.710 Å
α = 91.13°, β = 91.13°, γ = 37.89°
Positions (direct):
Dy  0.042  0.077  0.371
Dy  0.077  0.042  0.871
Dy  0.206  0.232  0.132
Dy  0.232  0.206  0.632
Dy  0.768  0.794  0.368
Dy  0.794  0.768  0.868
Dy  0.923  0.958  0.129
Dy  0.958  0.923  0.629
B  0.361  0.446  0.477
B  0.380  0.434  0.787
B  0.434  0.380  0.287
B  0.446  0.361  0.977
B  0.554  0.639  0.023
B  0.566  0.620  0.713
B  0.620  0.566  0.213
B  0.639  0.554  0.523
O  0.087  0.754  0.466
O  0.123  0.680  0.276
O  0.136  0.512  0.744
O  0.246  0.913  0.034
O  0.274  0.550  0.895
O  0.320  0.447  0.068
O  0.320  0.877  0.224
O  0.337  0.663  0.750
O  0.447  0.320  0.568
O  0.450  0.726  0.605
O  0.488  0.864  0.756
O  0.512  0.136  0.244
O  0.550  0.274  0.395
O  0.553  0.680  0.432
O  0.663  0.337  0.250
O  0.680  0.123  0.776
O  0.680  0.553  0.932
O  0.726  0.450  0.105
O  0.754  0.087  0.966
O  0.864  0.488  0.256
O  0.877  0.320  0.724
O  0.913  0.246  0.534
F  0.201  0.259  0.421
F  0.259  0.201  0.921
F  0.741  0.799  0.079
F  0.799  0.741  0.579

Properties
* calculated volume: 10.201 Å³/atom
* DOS(E_F): 0.00 states/eV per cell
* crystal system: monoclinic
* raw formation energy: -6398 kJ/mol of formula units

=====

## DyFe3B (PBE-GGA)

Data for a relaxed structure of DyFe3B.

a = 4.006 Å, b = 4.006 Å, c = 4.006 Å
α = 90.00°, β = 90.00°, γ = 90.00°
Positions (direct):
Dy  0.000  0.000  0.000
Fe  0.000  0.500  0.500
Fe  0.500  0.000  0.500
Fe  0.500  0.500  0.000
B  0.500  0.500  0.500

Properties
* calculated volume: 12.857 Å³/atom
* DOS(E_F): 4.16 states/eV per cell
* crystal system: cubic
* energy of formation from the pure elements: -85 meV per atom

=====

## DyFeB (PBE-GGA)

Data for a relaxed structure of DyFeB.

a = 3.534 Å, b = 3.534 Å, c = 4.020 Å
α = 90.00°, β = 90.00°, γ = 120.00°
Positions (direct):
Dy  0.000  0.000  0.000
Fe  0.667  0.333  0.500
B  0.333  0.667  0.500

Properties
* calculated volume: 14.496 Å³/atom
* DOS(E_F): 2.22 states/eV per cell
* crystal system: hexagonal
* excess energy over the best structure of this formula in the dataset: 151 meV/atom
* energy of formation from the pure elements: -217 meV per atom

=====

no.,total DFT energy (no corrections) (eV/atom),M_tot (μB per formula unit)
1,-4.940,0.0
2,-6.583,0.0
3,-5.238,0.2
4,-5.914,0.0
5,-6.036,0.0
6,-8.082,0.0
7,-7.418,4.0
8,-6.798,0.0